TlSn4H2 after structural relaxation, computed with PBE.

D(E_F)	3.18	states/eV/cell
E_tot	-23.23	eV per cell

Cell lengths 9.082, 9.082, 3.503 Å; angles 90.00, 90.00, 148.57 degrees
Element x y z (fractional)
Tl 0.000 0.000 0.000
Sn 0.188 0.812 0.000
Sn 0.388 0.612 0.500
Sn 0.612 0.388 0.500
Sn 0.812 0.188 0.000
H 0.267 0.733 0.500
H 0.733 0.267 0.500